# Tb7ErTl3

A geometry-optimized Tb7ErTl3 structure (GGA-PBE, Alexandria via LeMat-Bulk).

Computed properties:
formation energy: 0.300 eV/f.u.
SG: C2/m, No. 12
crystal system: monoclinic

abc: 8.0195 8.0195 5.9626
angles: 107.20 107.20 94.26
Closest atoms and distances in Å follow each position.
Element x y z (fractional)
Tb: 0.0000 0.0000 0.0000  2 Er 2.98, 2 Tl 3.11
Tb: 0.1054 0.5304 0.3007  3 Tl 3.09-3.21, 2 Tb 3.35-3.42
Tb: 0.3284 0.3284 0.8457  4 Tl 3.24-3.52, 1 Er 3.27, 1 Tb 3.38
Tb: 0.4696 0.8946 0.6993  3 Tl 3.09-3.21, 2 Tb 3.35-3.42
Tb: 0.5304 0.1054 0.3007  3 Tl 3.09-3.21, 2 Tb 3.35-3.42
Tb: 0.6716 0.6716 0.1543  4 Tl 3.24-3.52, 1 Er 3.27, 1 Tb 3.38
Tb: 0.8946 0.4696 0.6993  3 Tl 3.09-3.21, 2 Tb 3.35-3.42
Er: 0.0000 0.0000 0.5000  4 Tb 2.98-3.27
Tl: 0.2645 0.7355 0.0000  7 Tb 3.11-3.24
Tl: 0.5000 0.5000 0.5000  6 Tb 3.09-3.33
Tl: 0.7355 0.2645 0.0000  7 Tb 3.11-3.24



# TbErTl

A geometry-optimized TbErTl structure (GGA-PBE, Alexandria via LeMat-Bulk).

Computed properties:
E above lowest polymorph: 223 meV per atom
formation energy: -0.099 eV/f.u.
SG: F-43m, No. 216
crystal system: cubic

abc: 5.1731 5.1731 5.1731
angles: 60.00 60.00 60.00
Closest atoms and distances in Å follow each position.
Element x y z (fractional)
Tb: 0.0000 0.0000 0.0000  4 Tl 3.17
Er: 0.5000 0.5000 0.5000  4 Tl 3.17
Tl: 0.7500 0.7500 0.7500  4 Er 3.17, 4 Tb 3.17



# Tb4ErTl2

A geometry-optimized Tb4ErTl2 structure (GGA-PBE, Alexandria via LeMat-Bulk).

Computed properties:
E above lowest polymorph: 44 meV per atom
formation energy: 0.719 eV/f.u.
SG: C2/m, No. 12
crystal system: monoclinic

abc: 6.2674 6.2674 6.1070
angles: 93.97 93.97 114.92
Closest atoms and distances in Å follow each position.
Element x y z (fractional)
Tb: 0.0000 0.5000 0.5000  2 Er 3.13, 4 Tb 3.32-3.37, 2 Tl 3.37
Tb: 0.2087 0.7913 0.0000  6 Tb 3.32-3.70, 4 Tl 3.46-3.67
Tb: 0.5000 0.0000 0.5000  2 Er 3.13, 4 Tb 3.32-3.37, 2 Tl 3.37
Tb: 0.7913 0.2087 0.0000  6 Tb 3.32-3.70, 4 Tl 3.46-3.67
Er: 0.0000 0.0000 0.5000  4 Tb 3.13, 2 Tl 3.41
Tl: 0.4111 0.4111 0.2286  2 Tl 3.18-3.38, 4 Tb 3.37-3.46, 1 Er 3.41
Tl: 0.5889 0.5889 0.7714  2 Tl 3.18-3.38, 4 Tb 3.37-3.46, 1 Er 3.41



# Tb4ErTl4

A geometry-optimized Tb4ErTl4 structure (GGA-PBE, Alexandria via LeMat-Bulk).

Computed properties:
formation energy: -1.505 eV/f.u.
SG: P4_2/n, No. 86
crystal system: tetragonal

abc: 9.3566 9.3566 5.9781
angles: 90.00 90.00 90.00
Closest atoms and distances in Å follow each position.
Element x y z (fractional)
Tb: 0.0872 0.8261 0.1273  5 Tl 3.19-3.50, 1 Er 3.32, 1 Tb 3.36
Tb: 0.1739 0.5872 0.6273  5 Tl 3.19-3.50, 1 Er 3.32, 1 Tb 3.36
Tb: 0.3261 0.9128 0.6273  5 Tl 3.19-3.50, 1 Er 3.32, 1 Tb 3.36
Tb: 0.4128 0.6739 0.1273  5 Tl 3.19-3.50, 1 Er 3.32, 1 Tb 3.36
Tb: 0.5872 0.3261 0.8727  5 Tl 3.19-3.50, 1 Er 3.32, 1 Tb 3.36
Tb: 0.6739 0.0872 0.3727  5 Tl 3.19-3.50, 1 Er 3.32, 1 Tb 3.36
Tb: 0.8261 0.4128 0.3727  5 Tl 3.19-3.50, 1 Er 3.32, 1 Tb 3.36
Tb: 0.9128 0.1739 0.8727  5 Tl 3.19-3.50, 1 Er 3.32, 1 Tb 3.36
Er: 0.2500 0.2500 0.7500  4 Tl 3.16, 4 Tb 3.32
Er: 0.7500 0.7500 0.2500  4 Tl 3.16, 4 Tb 3.32
Tl: 0.0424 0.1488 0.3653  1 Er 3.16, 5 Tb 3.19-3.50, 3 Tl 3.31-3.35
Tl: 0.1488 0.4576 0.1347  1 Er 3.16, 5 Tb 3.19-3.50, 3 Tl 3.31-3.35
Tl: 0.3512 0.0424 0.1347  1 Er 3.16, 5 Tb 3.19-3.50, 3 Tl 3.31-3.35
Tl: 0.4576 0.3512 0.3653  1 Er 3.16, 5 Tb 3.19-3.50, 3 Tl 3.31-3.35
Tl: 0.5424 0.6488 0.6347  1 Er 3.16, 5 Tb 3.19-3.50, 3 Tl 3.31-3.35
Tl: 0.6488 0.9576 0.8653  1 Er 3.16, 5 Tb 3.19-3.50, 3 Tl 3.31-3.35
Tl: 0.8512 0.5424 0.8653  1 Er 3.16, 5 Tb 3.19-3.50, 3 Tl 3.31-3.35
Tl: 0.9576 0.8512 0.6347  1 Er 3.16, 5 Tb 3.19-3.50, 3 Tl 3.31-3.35



Per-record total moment, μB per formula unit: 0.0, 0.0, 0.0, 0.0
Per-record volume, Å³ per cell: 344.4, 97.9, 215.7, 523.4